Entry 1:
Entry from Alexandria via LeMat-Bulk: an optimized crystal structure of SiAu (PBE).

Lattice parameters (Å, degrees): 6.926 6.926 6.926 90.00 90.00 90.00
Fractional coordinates of all 12 atoms:
Si (0.000, 0.250, 0.500)
Si (0.000, 0.750, 0.500)
Si (0.250, 0.500, 0.000)
Si (0.500, 0.000, 0.250)
Si (0.500, 0.000, 0.750)
Si (0.750, 0.500, 0.000)
Au (0.000, 0.500, 0.250)
Au (0.000, 0.500, 0.750)
Au (0.250, 0.000, 0.500)
Au (0.500, 0.250, 0.000)
Au (0.500, 0.750, 0.000)
Au (0.750, 0.000, 0.500)

Values from the calculation:
Final energy (eV/atom): -3.994
Theoretical density (g/cm³): 6.75
Volume (Å³ per atom): 27.68

***

Entry 2:
Entry from Alexandria via LeMat-Bulk: an optimized crystal structure of Ta5Nb2W4 (PBE).

Lattice parameters (Å, degrees): 10.151 10.151 7.354 108.85 108.85 16.54
Fractional coordinates of all 11 atoms:
Ta (0.000, 0.000, 0.000)
Ta (0.285, 0.285, 0.185)
Ta (0.349, 0.349, 0.890)
Ta (0.651, 0.651, 0.110)
Ta (0.715, 0.715, 0.815)
Nb (0.434, 0.434, 0.291)
Nb (0.566, 0.566, 0.709)
W (0.193, 0.193, 0.483)
W (0.428, 0.428, 0.658)
W (0.572, 0.572, 0.342)
W (0.807, 0.807, 0.517)

Values from the calculation:
Energy of formation from the pure elements (meV per atom): 477
Final energy (eV/atom): -11.452
Theoretical density (g/cm³): 14.87
Offset from the most stable computed form (eV/atom): 0.2527
Volume (Å³ per atom): 18.53